Entry 1:
Computed, not measured: a relaxed Rb3NaAg2As2 crystal at the GGA-PBE level of DFT.

Unit cell a=6.5486 b=6.0868 c=6.5662 alpha=90.00 beta=102.84 gamma=90.00
Fractional coordinates of all 8 atoms:
Rb: 0.0000 0.0000 0.0000
Rb: 0.0757 0.5000 0.3762
Rb: 0.7160 0.5000 0.7078
Na: 0.3901 0.0000 0.6918
Ag: 0.5231 0.2511 0.1739
Ag: 0.5231 0.7489 0.1739
As: 0.2769 0.5000 0.9128
As: 0.7460 0.0000 0.4477

Summary:
E_tot in eV per atom: -2.742

---

Entry 2:
Computed, not measured: a relaxed HfNbTc2 crystal at the GGA-PBE level of DFT.

Unit cell a=3.2178 b=3.2178 c=6.4642 alpha=90.00 beta=90.00 gamma=90.00
Fractional coordinates of all 4 atoms:
Hf: 0.0000 0.0000 0.0000
Nb: 0.0000 0.0000 0.5000
Tc: 0.5000 0.5000 0.2578
Tc: 0.5000 0.5000 0.7422

Summary:
Energy of formation from the pure elements in eV/atom: -0.442

---

Entry 3:
Computed, not measured: a relaxed LuMgTe2AuS crystal at the GGA-PBE level of DFT.

Unit cell a=7.3929 b=7.3929 c=10.2165 alpha=90.00 beta=90.00 gamma=147.82
Fractional coordinates of all 12 atoms:
Lu: 0.0000 0.0000 0.0000
Lu: 0.0000 0.0000 0.5000
Mg: 0.2860 0.7140 0.7500
Mg: 0.7140 0.2860 0.2500
Te: 0.3449 0.6551 0.0600
Te: 0.3449 0.6551 0.4400
Te: 0.6551 0.3449 0.5600
Te: 0.6551 0.3449 0.9400
Au: 0.4808 0.5192 0.2500
Au: 0.5192 0.4808 0.7500
S: 0.0944 0.9056 0.2500
S: 0.9056 0.0944 0.7500

Summary:
E_tot in eV per atom: -4.083

---

Entry 4:
Computed, not measured: a relaxed LiCuAgAs crystal at the GGA-PBE level of DFT.

Unit cell a=6.2542 b=6.2542 c=6.2542 alpha=90.00 beta=90.00 gamma=90.00
Fractional coordinates of all 16 atoms:
Li: 0.0000 0.0000 0.0000
Li: 0.0000 0.5000 0.5000
Li: 0.5000 0.0000 0.5000
Li: 0.5000 0.5000 0.0000
Cu: 0.2500 0.2500 0.7500
Cu: 0.2500 0.7500 0.2500
Cu: 0.7500 0.2500 0.2500
Cu: 0.7500 0.7500 0.7500
Ag: 0.2500 0.2500 0.2500
Ag: 0.2500 0.7500 0.7500
Ag: 0.7500 0.2500 0.7500
Ag: 0.7500 0.7500 0.2500
As: 0.0000 0.0000 0.5000
As: 0.0000 0.5000 0.0000
As: 0.5000 0.0000 0.0000
As: 0.5000 0.5000 0.5000

Summary:
E_tot in eV per atom: -3.424

---

Entry 5:
Computed, not measured: a relaxed TbDyZr2As2 crystal at the GGA-PBE level of DFT.

Unit cell a=4.0955 b=4.0955 c=15.9378 alpha=90.00 beta=90.00 gamma=90.00
Fractional coordinates of all 12 atoms:
Tb: 0.0000 0.0000 0.0000
Tb: 0.5000 0.5000 0.5000
Dy: 0.0000 0.0000 0.3554
Dy: 0.5000 0.5000 0.8554
Zr: 0.0000 0.5000 0.1780
Zr: 0.0000 0.5000 0.6780
Zr: 0.5000 0.0000 0.1780
Zr: 0.5000 0.0000 0.6780
As: 0.0000 0.0000 0.5456
As: 0.0000 0.0000 0.8103
As: 0.5000 0.5000 0.0456
As: 0.5000 0.5000 0.3103

Summary:
E_tot in eV per atom: -6.937

---

Entry 6:
Computed, not measured: a relaxed IrPdNO crystal at the GGA-PBE level of DFT.

Unit cell a=3.0474 b=5.7008 c=5.8134 alpha=90.00 beta=90.00 gamma=90.00
Fractional coordinates of all 8 atoms:
Ir: 0.0000 0.1061 0.0000
Ir: 0.0000 0.8939 0.5000
Pd: 0.5000 0.2899 0.5460
Pd: 0.5000 0.7101 0.0460
N: 0.0000 0.1821 0.3240
N: 0.0000 0.8179 0.8240
O: 0.5000 0.3382 0.9285
O: 0.5000 0.6618 0.4285

Summary:
E_tot in eV per atom: -6.546

---

Entry 7:
Computed, not measured: a relaxed DyRe2 crystal at the GGA-PBE level of DFT.

Unit cell a=5.4086 b=5.4086 c=8.8170 alpha=90.00 beta=90.00 gamma=120.00
Fractional coordinates of all 12 atoms:
Dy: 0.3333 0.6667 0.0621
Dy: 0.3333 0.6667 0.4379
Dy: 0.6667 0.3333 0.5621
Dy: 0.6667 0.3333 0.9379
Re: 0.0000 0.0000 0.0000
Re: 0.0000 0.0000 0.5000
Re: 0.1710 0.3420 0.7500
Re: 0.1710 0.8290 0.7500
Re: 0.3420 0.1710 0.2500
Re: 0.6580 0.8290 0.7500
Re: 0.8290 0.1710 0.2500
Re: 0.8290 0.6580 0.2500

Summary:
Energy of formation from the pure elements in eV/atom: -0.210

---

Entry 8:
Computed, not measured: a relaxed Li3Ga4Pt2 crystal at the GGA-PBE level of DFT.

Unit cell a=5.2947 b=5.2947 c=8.1092 alpha=119.35 beta=119.35 gamma=48.02
Fractional coordinates of all 9 atoms:
Li: 0.0000 0.0000 0.0000
Li: 0.3374 0.3374 0.3288
Li: 0.6626 0.6626 0.6712
Ga: 0.0864 0.0864 0.4163
Ga: 0.3132 0.3132 0.9762
Ga: 0.6868 0.6868 0.0238
Ga: 0.9136 0.9136 0.5837
Pt: 0.3883 0.3883 0.7236
Pt: 0.6117 0.6117 0.2764

Summary:
E_tot in eV per atom: -3.928